Entry 1:
Here is a relaxed Pm6Ir2N crystal from Alexandria via LeMat-Bulk. Energies are from PBE.

VASP energy	-6.563	eV per atom
space-group type	C2/m (12)
N(E_F)	7.1	states/eV per cell

Cell lengths 3.823, 6.867, 10.746 Å; angles 74.69, 79.75, 73.84 degrees
Element x y z (fractional)
Pm 0.813 0.265 0.109
Pm 0.187 0.735 0.891
Pm 0.346 0.757 0.552
Pm 0.008 0.770 0.214
Pm 0.992 0.230 0.786
Pm 0.654 0.243 0.448
Ir 0.323 0.047 0.306
Ir 0.677 0.953 0.694
N 0.000 0.000 0.000

Entry 2:
Here is a relaxed Pm12Ir6N crystal from Alexandria via LeMat-Bulk. Energies are from PBE.

VASP energy	-6.861	eV per atom
space-group type	R-3 (148)
N(E_F)	10.8	states/eV per cell

Cell lengths 8.203, 8.203, 8.203 Å; angles 99.01, 99.01, 99.01 degrees
Element x y z (fractional)
Pm 0.824 0.577 0.414
Pm 0.414 0.824 0.577
Pm 0.577 0.414 0.824
Pm 0.176 0.423 0.586
Pm 0.586 0.176 0.423
Pm 0.423 0.586 0.176
Pm 0.071 0.956 0.307
Pm 0.044 0.693 0.929
Pm 0.693 0.929 0.044
Pm 0.929 0.044 0.693
Pm 0.956 0.307 0.071
Pm 0.307 0.071 0.956
Ir 0.704 0.869 0.382
Ir 0.618 0.296 0.131
Ir 0.131 0.618 0.296
Ir 0.296 0.131 0.618
Ir 0.382 0.704 0.869
Ir 0.869 0.382 0.704
N 0.000 0.000 0.000

Entry 3:
Here is a relaxed Pm2IrN crystal from Alexandria via LeMat-Bulk. Energies are from PBE.

VASP energy	-7.230	eV per atom
space-group type	P4/mmm (123)
N(E_F)	0.5	states/eV per cell

Cell lengths 3.237, 3.237, 6.924 Å; angles 90.00, 90.00, 90.00 degrees
Element x y z (fractional)
N 0.500 0.500 0.000
Ir 0.500 0.500 0.500
Pm 0.000 0.000 0.785
Pm 0.000 0.000 0.215

Volume, respectively: 28.85 27.85 18.14 A^3/atom.
Total moment, respectively: 0.000 0.000 0.000 μB per cell.
E_form (uncorrected), respectively: -48 -60 -54 kJ/mol of atoms.